The following is a PBE calculation of a geometry-optimized GaCu2Pt structure, from Alexandria via LeMat-Bulk.

Unit cell a=3.609 b=3.609 c=18.354 alpha=90.00 beta=90.00 gamma=90.00
Space group I-42d (No. 122)
Asymmetric unit:
Ga1 0.000 0.000 0.000 (multiplicity 4)
Cu1 0.247 0.250 0.625 (multiplicity 8)
Pt1 0.000 0.000 0.500 (multiplicity 4)

Output
- final energy (eV per atom) = -4.392
- crystal system = tetragonal
- volume (Å³/atom) = 14.945